6
Lattice="4.995 0.000 0.000 2.497 4.325 0.000 2.497 1.442 4.078" Properties=species:S:1:pos:R:3 comment="PBE HfUMn4, optimized geometry" formation_enthalpy_0k_ev_per_fu=0.1 spacegroup="F-43m (216)" crystal_system=cubic pbc="T T T"
Hf 0.000 0.000 0.000
Mn 4.995 2.884 0.508
Mn 4.995 1.441 2.549
Mn 6.244 3.605 2.549
Mn 3.745 3.605 2.549
U 2.497 1.442 1.020

=====

4
Lattice="3.115 0.000 0.000 0.000 3.115 0.000 0.000 0.000 7.949" Properties=species:S:1:pos:R:3 comment="PBE Hf2UMn, optimized geometry" formation_enthalpy_0k_ev_per_fu=0.4 spacegroup="P4/mmm (123)" crystal_system=tetragonal pbc="T T T"
Hf 0.000 0.000 6.392
Hf 0.000 0.000 1.557
Mn 1.557 1.557 0.000
U 1.557 1.557 3.974

=====

6
Lattice="-1.564 3.972 2.444 -2.995 -0.513 3.869 2.966 0.810 5.531" Properties=species:S:1:pos:R:3 comment="PBE HfUMn, optimized geometry" formation_enthalpy_0k_ev_per_fu=0.7 spacegroup="R-3m (166)" crystal_system=trigonal pbc="T T T"
Mn -0.551 1.079 2.844
Mn -1.041 3.190 8.999
Hf 1.424 0.928 4.353
Hf -3.016 3.341 7.491
U 0.739 2.017 7.095
U -2.331 2.252 4.749

=====

4
Lattice="4.584 0.000 0.000 2.292 3.970 0.000 2.292 1.323 3.743" Properties=species:S:1:pos:R:3 comment="PBE Hf2MnV, optimized geometry" relative_energy_ev_per_atom=0.0000 formation_enthalpy_0k_ev_per_fu=0.1 spacegroup="Fm-3m (225)" crystal_system=cubic pbc="T T T"
Mn 0.000 0.000 0.000
Hf 2.292 1.323 0.936
Hf 6.876 3.970 2.807
V 4.584 2.646 1.871

=====

4
Lattice="-0.274 -2.278 -1.949 0.608 -1.959 2.204 -5.959 -0.393 1.295" Properties=species:S:1:pos:R:3 comment="PBE HfMn2V, optimized geometry" relative_energy_ev_per_atom=0.0000 formation_enthalpy_0k_ev_per_fu=-0.6 spacegroup="P4/mmm (123)" crystal_system=tetragonal pbc="T T T"
Mn -4.611 -0.304 1.002
Mn -1.348 -0.089 0.293
Hf -2.812 -2.315 0.775
V 0.167 -2.118 0.128

=====

12
Lattice="-2.354 1.157 3.230 -5.762 -1.615 -3.621 0.214 -5.653 2.182" Properties=species:S:1:pos:R:3 comment="PBE HfMnV4, optimized geometry" relative_energy_ev_per_atom=0.0000 formation_enthalpy_0k_ev_per_fu=0.4 spacegroup="Pmma (51)" crystal_system=orthorhombic pbc="T T T"
Hf -3.398 -5.237 -0.599
Hf -2.150 -2.031 -0.839
Mn -1.280 -4.644 0.731
Mn -4.269 -2.625 -2.170
V 0.107 -2.827 1.091
V 0.000 0.000 0.000
V -6.596 -5.225 -0.255
V -1.306 -0.886 2.046
V -5.161 -0.812 -0.791
V -2.741 -5.299 2.582
V -5.075 -3.097 0.091
V -2.827 -3.014 1.700

=====

6
Lattice="-4.411 -0.892 2.293 0.130 0.884 -4.971 3.332 -3.599 -0.553" Properties=species:S:1:pos:R:3 comment="PBE Hf2Mn3V, optimized geometry" formation_enthalpy_0k_ev_per_fu=-1.5 spacegroup="R-3m (166)" crystal_system=trigonal pbc="T T T"
Hf -2.843 -0.786 -0.213
Hf 1.894 -2.822 -3.018
Mn -0.474 -1.804 -1.616
Mn 1.666 -1.800 -0.276
Mn -0.540 -2.246 0.870
V 0.000 0.000 0.000

=====

6
Lattice="-2.983 -3.896 0.902 1.018 -3.100 3.775 -2.906 -0.031 4.056" Properties=species:S:1:pos:R:3 comment="PBE HfMnV4, optimized geometry" relative_energy_ev_per_atom=0.0363 formation_enthalpy_0k_ev_per_fu=0.6 spacegroup="F-43m (216)" crystal_system=cubic pbc="T T T"
Mn -1.218 -1.757 2.183
Hf 0.000 0.000 0.000
V -1.590 -4.379 3.428
V -3.556 -2.841 3.569
V -3.046 -4.394 5.460
V -1.551 -2.442 5.008

=====

10
Lattice="6.092 0.000 0.000 0.000 6.092 0.000 0.000 0.000 4.330" Properties=species:S:1:pos:R:3 comment="PBE Hf2Mn2V, optimized geometry" formation_enthalpy_0k_ev_per_fu=-0.2 spacegroup="P4/mbm (127)" crystal_system=tetragonal pbc="T T T"
Mn 2.288 5.333 0.000
Mn 5.333 3.804 0.000
Mn 3.804 0.758 0.000
Mn 0.758 2.288 0.000
Hf 1.102 4.148 2.165
Hf 4.148 4.989 2.165
Hf 4.989 1.944 2.165
Hf 1.944 1.102 2.165
V 0.000 0.000 0.000
V 3.046 3.046 0.000

=====

5
Lattice="4.675 0.000 0.000 0.000 4.675 0.000 0.000 0.000 4.675" Properties=species:S:1:pos:R:3 comment="PBE HfMnV3, optimized geometry" relative_energy_ev_per_atom=1.2315 formation_enthalpy_0k_ev_per_fu=8.7 spacegroup="Pm-3m (221)" crystal_system=cubic pbc="T T T"
Mn 2.337 2.337 2.337
Hf 0.000 0.000 0.000
V 0.000 2.337 0.000
V 0.000 0.000 2.337
V 2.337 0.000 0.000

=====

11
Lattice="6.129 0.000 0.000 -2.043 5.778 0.000 -2.043 -2.889 5.004" Properties=species:S:1:pos:R:3 comment="PBE Hf3Mn4V4, optimized geometry" formation_enthalpy_0k_ev_per_fu=2.7 spacegroup="I-43m (217)" crystal_system=cubic pbc="T T T"
Hf 2.043 2.889 0.000
Hf 2.043 -1.445 2.502
Hf -2.043 1.445 2.502
Mn -1.277 3.612 0.000
Mn 3.831 0.000 0.000
Mn -1.277 -1.806 3.128
Mn 0.766 1.083 1.876
V -0.590 1.669 0.000
V -0.590 -0.834 1.445
V 1.770 0.000 0.000
V 1.453 2.055 3.559

=====

16
Lattice="4.703 0.000 0.000 0.000 4.646 0.000 0.000 0.000 11.016" Properties=species:S:1:pos:R:3 comment="PBE HfMn2V, optimized geometry" relative_energy_ev_per_atom=0.3260 formation_enthalpy_0k_ev_per_fu=0.7 spacegroup="Pmma (51)" crystal_system=orthorhombic pbc="T T T"
Hf 0.000 1.162 7.870
Hf 2.352 3.485 0.991
Hf 0.000 3.485 3.146
Hf 2.352 1.162 10.025
Mn 0.000 0.000 0.000
Mn 2.352 2.323 5.508
Mn 1.111 3.485 9.246
Mn 3.592 1.162 1.770
Mn 3.592 3.485 9.246
Mn 1.111 1.162 1.770
Mn 0.000 2.323 0.000
Mn 2.352 0.000 5.508
V 2.352 3.485 7.492
V 2.352 1.162 3.524
V 0.000 1.162 4.902
V 0.000 3.485 6.113